(1)
The following is a DFT calculation (SCAN) of a crystal of La2Y relaxed with PBEsol.

Lattice parameters (Å, degrees): 5.7305 5.7305 3.4740 90.00 90.00 120.00
Space group P6/mmm (No. 191)
Asymmetric unit:
La: 0.3333 0.6667 0.0000 x2
Y: 0.0000 0.0000 0.5000 x1

- formation energy from the elements (meV per atom) = 34
- N(E_F) (states/eV per atom) = 1.709
- energy relative to the lowest polymorph listed for this composition (kcal/mol of atoms) = 0.41

---

(2)
The following is a DFT calculation (SCAN) of a crystal of Zn3HRh relaxed with PBEsol.

Lattice parameters (Å, degrees): 3.819 3.819 3.819 90.00 90.00 90.00
Space group Pm-3m (No. 221)
Asymmetric unit:
Zn: 0.000 0.000 0.500 x3
H: 0.000 0.000 0.000 x1
Rh: 0.500 0.500 0.500 x1

- E_tot (eV per cell) = -78.0
- N(E_F) (states/eV per atom) = 0.244

---

(3)
The following is a DFT calculation (SCAN) of a crystal of MgCuPt2 relaxed with PBEsol.

Lattice parameters (Å, degrees): 2.8076 2.8076 25.3768 90.00 90.00 120.00
Space group R-3m (No. 166, hexagonal axes)
Asymmetric unit:
Mg: 0.0000 0.0000 0.0000 x3
Cu: 0.0000 0.0000 0.5000 x3
Pt: 0.0000 0.0000 0.2486 x6

- formation energy from the elements (meV per atom) = -410
- N(E_F) (states/eV per atom) = 0.559

---

(4)
The following is a DFT calculation (SCAN) of a crystal of SmGdB12 relaxed with PBEsol.

Lattice parameters (Å, degrees): 5.786 5.786 4.091 90.00 90.00 90.00
Space group P4/mmm (No. 123)
Asymmetric unit:
Sm: 0.000 0.000 0.000 x1
Gd: 0.500 0.500 0.000 x1
B: 0.000 0.500 0.199 x4
B: 0.151 0.350 0.500 x8

- formation energy from the elements (meV per atom) = -503
- N(E_F) (states/eV per atom) = 0.142

---

(5)
The following is a DFT calculation (SCAN) of a crystal of YZnPt relaxed with PBEsol.

Lattice parameters (Å, degrees): 4.3436 4.3436 3.5472 90.00 90.00 120.00
Space group P-6m2 (No. 187)
Asymmetric unit:
Y: 0.0000 0.0000 0.0000 x1
Zn: 0.3333 0.6667 0.5000 x1
Pt: 0.6667 0.3333 0.5000 x1

- formation energy from the elements (meV per atom) = -1066
- N(E_F) (states/eV per atom) = 0.597

---

(6)
The following is a DFT calculation (SCAN) of a crystal of Si2NiPd relaxed with PBEsol.

Lattice parameters (Å, degrees): 3.354 5.836 5.375 90.00 90.00 90.00
Space group Pmc2_1 (No. 26)
Asymmetric unit:
Si: 0.000 0.149 0.000 x2
Si: 0.500 0.306 0.356 x2
Ni: 0.500 0.057 0.689 x2
Pd: 0.000 0.433 0.677 x2

- N(E_F) (states/eV per atom) = 0.202
- formation energy from raw total energies (eV per atom) = -0.531